DFT (GGA+U) results for a relaxed structure of NpGaNi2O6.

calculated density = 6.3 g/cm3
volume = 13.82 A^3/atom
total energy = -0.240 hartree per atom

abc: 5.867 5.867 4.014
angles: 90.00 90.00 90.00
Space group P4mm (No. 99)
Inequivalent atoms, fractional coordinates:
1 Np 0.000 0.000 0.000 x1
2 Ga 0.500 0.500 0.981 x1
3 Ni 0.000 0.500 0.107 x2
4 O 0.000 0.000 0.504 x1
5 O 0.253 0.253 0.030 x4
6 O 0.500 0.500 0.503 x1